The following is a DFT calculation (GGA-PBE) of crystalline LaVTe2N at its relaxed geometry.

Structure (POSCAR):
```
LaVTe2N
1.0
-4.2984 2.9728 -1.7781
-2.7796 -4.6511 -1.0568
-1.4190 0.0497 3.5134
N V Te La
1 1 2 1
direct
0.0000 0.0000 0.5000
0.0000 0.0000 0.0000
0.0000 0.5000 0.0000
0.5000 0.0000 0.0000
0.5000 0.5000 0.5000
```

Computed properties:
Magnetization   0.201 μB per atom
Formation energy (no corrections)   -3.37 eV per formula unit
Energy above the most stable polymorph in this dataset   0.0000 eV per atom
Space group   P4/mmm, No. 123